(1)
First-principles (PBEsol) data for crystalline Ti3ReI at its relaxed geometry, as listed in the Alexandria database. Values from VASP.

```
&SYSTEM
  ibrav = 0, nat = 5, ntyp = 3
/
ATOMIC_SPECIES
Ti 47.87 Ti.upf
Re 186.21 Re.upf
I 126.90 I.upf
CELL_PARAMETERS angstrom
4.755 0.000 0.000
0.000 4.755 0.000
0.000 0.000 4.755
ATOMIC_POSITIONS angstrom
Ti 0.000 0.000 2.377
Ti 0.000 2.377 0.000
Ti 2.377 0.000 0.000
Re 2.377 2.377 2.377
I 0.000 0.000 0.000
```

Summary:
- Fermi-level density of states (states/eV/f.u.) = 5.3
- uncorrected formation energy (eV per atom) = 1.624
- E (Ha/atom) = -0.23481
- crystal system = cubic
- size of the total moment (μB/f.u.) = 0.6


(2)
First-principles (PBEsol) data for crystalline Si2PbAu at its relaxed geometry, as listed in the Alexandria database. Values from VASP.

```
&SYSTEM
  ibrav = 0, nat = 4, ntyp = 3
/
ATOMIC_SPECIES
Si 28.09 Si.upf
Pb 207.20 Pb.upf
Au 196.97 Au.upf
CELL_PARAMETERS angstrom
-1.528 2.635 4.950
1.528 -2.635 4.950
1.528 2.635 -4.950
ATOMIC_POSITIONS angstrom
Si 0.000 0.000 2.148
Si 0.000 0.000 7.753
Pb 0.000 2.635 0.000
Au 1.528 0.000 0.000
```

Summary:
- Fermi-level density of states (states/eV/f.u.) = 2.0
- uncorrected formation energy (eV per atom) = 0.373
- E (Ha/atom) = -0.16468
- crystal system = orthorhombic
- size of the total moment (μB/f.u.) = 0.0


(3)
First-principles (PBEsol) data for crystalline As3Br at its relaxed geometry, as listed in the Alexandria database. Values from VASP.

```
&SYSTEM
  ibrav = 0, nat = 4, ntyp = 2
/
ATOMIC_SPECIES
As 74.92 As.upf
Br 79.90 Br.upf
CELL_PARAMETERS angstrom
1.844 1.064 7.298
-1.844 1.064 7.298
0.000 -2.129 7.298
ATOMIC_POSITIONS angstrom
As 0.000 0.000 0.000
As 0.000 0.000 5.722
As 0.000 0.000 16.171
Br 0.000 0.000 10.947
```

Summary:
- ΔE to the lowest computed polymorph (kcal/mol of atoms) = 0.00
- Fermi-level density of states (states/eV/f.u.) = 2.3
- uncorrected formation energy (eV per atom) = 0.185
- E (Ha/atom) = -0.15111
- crystal system = trigonal
- size of the total moment (μB/f.u.) = 0.0


(4)
First-principles (PBEsol) data for crystalline KGeOF2 at its relaxed geometry, as listed in the Alexandria database. Values from VASP.

```
&SYSTEM
  ibrav = 0, nat = 5, ntyp = 4
/
ATOMIC_SPECIES
K 39.10 K.upf
Ge 72.64 Ge.upf
O 16.00 O.upf
F 19.00 F.upf
CELL_PARAMETERS angstrom
4.500 0.000 0.000
0.000 4.500 0.000
0.000 0.000 4.503
ATOMIC_POSITIONS angstrom
K 0.000 0.000 0.000
Ge 2.250 2.250 2.251
O 0.000 0.000 2.251
F 0.000 2.250 0.000
F 2.250 0.000 0.000
```

Summary:
- Fermi-level density of states (states/eV/f.u.) = 3.5
- uncorrected formation energy (eV per atom) = -0.507
- E (Ha/atom) = -0.13017
- crystal system = tetragonal
- size of the total moment (μB/f.u.) = 1.0


(5)
First-principles (PBEsol) data for crystalline FeNiB2 at its relaxed geometry, as listed in the Alexandria database. Values from VASP.

```
&SYSTEM
  ibrav = 0, nat = 8, ntyp = 3
/
ATOMIC_SPECIES
Fe 55.84 Fe.upf
Ni 58.69 Ni.upf
B 10.81 B.upf
CELL_PARAMETERS angstrom
-2.188 2.188 4.355
2.188 -2.188 4.355
2.188 2.188 -4.355
ATOMIC_POSITIONS angstrom
Fe 0.000 0.000 0.000
Fe 0.000 2.188 2.178
Ni 2.188 0.000 2.178
Ni 0.000 0.000 4.355
B 3.282 1.058 -1.089
B 1.058 1.094 1.089
B -1.094 1.130 3.267
B 1.130 1.094 5.444
```

Summary:
- Fermi-level density of states (states/eV/f.u.) = 0.6
- E (Ha/atom) = -0.24469
- crystal system = tetragonal
- energy relative to the elements (meV per atom) = 630
- size of the total moment (μB/f.u.) = 0.0


(6)
First-principles (PBEsol) data for crystalline CaNbReAu2 at its relaxed geometry, as listed in the Alexandria database. Values from VASP.

```
&SYSTEM
  ibrav = 0, nat = 5, ntyp = 4
/
ATOMIC_SPECIES
Ca 40.08 Ca.upf
Nb 92.91 Nb.upf
Re 186.21 Re.upf
Au 196.97 Au.upf
CELL_PARAMETERS angstrom
4.780 0.000 0.000
0.000 4.780 0.000
0.000 0.000 4.768
ATOMIC_POSITIONS angstrom
Ca 0.000 0.000 0.000
Nb 2.390 2.390 2.384
Re 0.000 0.000 2.384
Au 0.000 2.390 0.000
Au 2.390 0.000 0.000
```

Summary:
- Fermi-level density of states (states/eV/f.u.) = 5.3
- E (Ha/atom) = -0.17429
- crystal system = tetragonal
- energy relative to the elements (meV per atom) = 2084
- size of the total moment (μB/f.u.) = 0.2


(7)
First-principles (PBEsol) data for crystalline BaAsPb at its relaxed geometry, as listed in the Alexandria database. Values from VASP.

```
&SYSTEM
  ibrav = 0, nat = 3, ntyp = 3
/
ATOMIC_SPECIES
Ba 137.33 Ba.upf
As 74.92 As.upf
Pb 207.20 Pb.upf
CELL_PARAMETERS angstrom
4.991 0.000 0.000
-2.495 4.322 0.000
0.000 0.000 4.527
ATOMIC_POSITIONS angstrom
Ba 0.000 0.000 0.000
As 2.495 1.441 2.263
Pb 0.000 2.881 2.263
```

Summary:
- Fermi-level density of states (states/eV/f.u.) = 1.0
- E (Ha/atom) = -0.16075
- crystal system = hexagonal
- energy relative to the elements (meV per atom) = -623
- size of the total moment (μB/f.u.) = 0.0


(8)
First-principles (PBEsol) data for crystalline YAl at its relaxed geometry, as listed in the Alexandria database. Values from VASP.

```
&SYSTEM
  ibrav = 0, nat = 4, ntyp = 2
/
ATOMIC_SPECIES
Y 88.91 Y.upf
Al 26.98 Al.upf
CELL_PARAMETERS angstrom
-1.879 2.387 5.133
1.879 -2.387 5.133
1.879 2.387 -5.133
ATOMIC_POSITIONS angstrom
Y 0.000 1.193 1.190
Y 1.879 1.193 3.943
Al 1.879 1.193 -1.622
Al 0.000 1.193 6.755
```

Summary:
- Fermi-level density of states (states/eV/f.u.) = 1.2
- E (Ha/atom) = -0.21469
- crystal system = orthorhombic
- energy relative to the elements (meV per atom) = -385
- size of the total moment (μB/f.u.) = 0.0


(9)
First-principles (PBEsol) data for crystalline Li3Pt at its relaxed geometry, as listed in the Alexandria database. Values from VASP.

```
&SYSTEM
  ibrav = 0, nat = 4, ntyp = 2
/
ATOMIC_SPECIES
Li 6.94 Li.upf
Pt 195.08 Pt.upf
CELL_PARAMETERS angstrom
3.011 0.000 0.000
0.000 3.011 0.000
0.000 0.000 6.422
ATOMIC_POSITIONS angstrom
Li 0.000 0.000 0.000
Li 1.505 1.505 1.867
Li 1.505 1.505 4.555
Pt 0.000 0.000 3.211
```

Summary:
- ΔE to the lowest computed polymorph (kcal/mol of atoms) = 1.62
- Fermi-level density of states (states/eV/f.u.) = 1.3
- E (Ha/atom) = -0.12860
- crystal system = tetragonal
- energy relative to the elements (meV per atom) = -284
- size of the total moment (μB/f.u.) = 0.0


(10)
First-principles (PBEsol) data for crystalline MnTcRh3 at its relaxed geometry, as listed in the Alexandria database. Values from VASP.

```
&SYSTEM
  ibrav = 0, nat = 5, ntyp = 3
/
ATOMIC_SPECIES
Mn 54.94 Mn.upf
Tc 98.00 Tc.upf
Rh 102.91 Rh.upf
CELL_PARAMETERS angstrom
4.324 0.000 0.000
0.000 4.324 0.000
0.000 0.000 4.324
ATOMIC_POSITIONS angstrom
Mn 0.000 0.000 0.000
Tc 2.162 2.162 2.162
Rh 0.000 0.000 2.162
Rh 0.000 2.162 0.000
Rh 2.162 0.000 0.000
```

Summary:
- Fermi-level density of states (states/eV/f.u.) = 6.0
- E (Ha/atom) = -0.28348
- crystal system = cubic
- energy relative to the elements (meV per atom) = 1375
- size of the total moment (μB/f.u.) = 3.8


(11)
First-principles (PBEsol) data for crystalline HfSn3Pb at its relaxed geometry, as listed in the Alexandria database. Values from VASP.

```
&SYSTEM
  ibrav = 0, nat = 5, ntyp = 3
/
ATOMIC_SPECIES
Hf 178.49 Hf.upf
Sn 118.71 Sn.upf
Pb 207.20 Pb.upf
CELL_PARAMETERS angstrom
5.448 0.000 0.000
0.000 5.448 0.000
0.000 0.000 5.448
ATOMIC_POSITIONS angstrom
Hf 0.000 0.000 0.000
Sn 0.000 0.000 2.724
Sn 0.000 2.724 0.000
Sn 2.724 0.000 0.000
Pb 2.724 2.724 2.724
```

Summary:
- Fermi-level density of states (states/eV/f.u.) = 3.5
- E (Ha/atom) = -0.18720
- crystal system = cubic
- energy relative to the elements (meV per atom) = 362
- size of the total moment (μB/f.u.) = 0.0


(12)
First-principles (PBEsol) data for crystalline KScSe2N at its relaxed geometry, as listed in the Alexandria database. Values from VASP.

```
&SYSTEM
  ibrav = 0, nat = 5, ntyp = 4
/
ATOMIC_SPECIES
K 39.10 K.upf
Sc 44.96 Sc.upf
Se 78.96 Se.upf
N 14.01 N.upf
CELL_PARAMETERS angstrom
5.244 0.000 0.000
0.000 5.244 0.000
0.000 0.000 4.286
ATOMIC_POSITIONS angstrom
K 0.000 0.000 0.000
Sc 2.622 2.622 2.143
Se 0.000 2.622 2.143
Se 2.622 0.000 2.143
N 2.622 2.622 0.000
```

Summary:
- Fermi-level density of states (states/eV/f.u.) = 4.4
- uncorrected formation energy (eV per atom) = -0.447
- E (Ha/atom) = -0.19257
- crystal system = tetragonal
- size of the total moment (μB/f.u.) = 2.5